Record 1
The following is a DFT calculation (GGA-PBEsol) of crystalline MnBeBr at its relaxed geometry.

Unit cell a=3.1239 b=3.1239 c=5.4141 alpha=90.00 beta=90.00 gamma=120.00
Space group P3m1 (No. 156)
Asymmetric unit:
Mn  0.0000  0.0000  0.0000 [1 per cell]
Be  0.3333  0.6667  0.7035 [1 per cell]
Br  0.6667  0.3333  0.3516 [1 per cell]

Computed properties:
Offset from the most stable computed form, eV per atom: 0.000
Calculated volume, A^3/atom: 15.25
Total magnetization, μB/f.u.: 3.33
Raw formation energy, eV per atom: 0.470

Record 2
The following is a DFT calculation (GGA-PBEsol) of crystalline YTlZn2W at its relaxed geometry.

Unit cell a=5.1138 b=5.1138 c=5.5778 alpha=90.00 beta=90.00 gamma=90.00
Space group P4/mmm (No. 123)
Asymmetric unit:
Y  0.0000  0.0000  0.0000 [1 per cell]
Tl  0.0000  0.0000  0.5000 [1 per cell]
Zn  0.0000  0.5000  0.0000 [2 per cell]
W  0.5000  0.5000  0.5000 [1 per cell]

Computed properties:
E_form, kcal/mol of atoms: 47.5
Calculated volume, A^3/atom: 29.17
Total magnetization, μB/f.u.: 3.50

Record 3
The following is a DFT calculation (GGA-PBEsol) of crystalline Cs3Sb2Cl9 at its relaxed geometry.

Unit cell a=7.5423 b=7.5423 c=9.2288 alpha=90.00 beta=90.00 gamma=120.00
Space group P321 (No. 150)
Asymmetric unit:
Cs  0.0000  0.0000  0.0000 [1 per cell]
Cs  0.3333  0.6667  0.6642 [2 per cell]
Sb  0.3333  0.6667  0.1852 [2 per cell]
Cl  0.0000  0.4986  0.0000 [3 per cell]
Cl  0.1725  0.8262  0.3356 [6 per cell]

Computed properties:
Calculated volume, A^3/atom: 32.48
Total magnetization, μB/f.u.: 0.00
Raw formation energy, eV per atom: -1.424

Record 4
The following is a DFT calculation (GGA-PBEsol) of crystalline LiZn2CdCo at its relaxed geometry.

Unit cell a=4.2428 b=4.2428 c=4.0496 alpha=90.00 beta=90.00 gamma=90.00
Space group P4/mmm (No. 123)
Asymmetric unit:
Li  0.0000  0.0000  0.0000 [1 per cell]
Zn  0.0000  0.5000  0.0000 [2 per cell]
Cd  0.5000  0.5000  0.5000 [1 per cell]
Co  0.0000  0.0000  0.5000 [1 per cell]

Computed properties:
E_form, kcal/mol of atoms: 14.5
Calculated volume, A^3/atom: 14.58
Total magnetization, μB/f.u.: 0.61

Record 5
The following is a DFT calculation (GGA-PBEsol) of crystalline AlPbW2 at its relaxed geometry.

Unit cell a=3.3778 b=3.3778 c=6.3299 alpha=90.00 beta=90.00 gamma=90.00
Space group P4/mmm (No. 123)
Asymmetric unit:
Al  0.0000  0.0000  0.0000 [1 per cell]
Pb  0.0000  0.0000  0.5000 [1 per cell]
W  0.5000  0.5000  0.1919 [2 per cell]

Computed properties:
Offset from the most stable computed form, eV per atom: 0.114
E_form, kcal/mol of atoms: 16.2
Calculated volume, A^3/atom: 18.05
Total magnetization, μB/f.u.: 0.00

Record 6
The following is a DFT calculation (GGA-PBEsol) of crystalline CdAgPt4 at its relaxed geometry.

Unit cell a=7.4033 b=7.4033 c=7.4033 alpha=90.00 beta=90.00 gamma=90.00
Space group F-43m (No. 216)
Asymmetric unit:
Cd  0.0000  0.0000  0.0000 [4 per cell]
Ag  0.2500  0.2500  0.7500 [4 per cell]
Pt  0.1249  0.1249  0.3751 [16 per cell]

Computed properties:
E_form, kcal/mol of atoms: -1.0
Calculated volume, A^3/atom: 16.91
Total magnetization, μB/f.u.: 0.00

Record 7
The following is a DFT calculation (GGA-PBEsol) of crystalline Mo2PSe at its relaxed geometry.

Unit cell a=3.2029 b=3.2029 c=5.8878 alpha=90.00 beta=90.00 gamma=90.00
Space group P4mm (No. 99)
Asymmetric unit:
Mo  0.0000  0.0000  0.0000 [1 per cell]
Mo  0.5000  0.5000  0.3232 [1 per cell]
P  0.0000  0.0000  0.4578 [1 per cell]
Se  0.5000  0.5000  0.7929 [1 per cell]

Computed properties:
Calculated volume, A^3/atom: 15.10
Total magnetization, μB/f.u.: 0.00
Raw formation energy, eV per atom: -0.256

Record 8
The following is a DFT calculation (GGA-PBEsol) of crystalline MgGePd at its relaxed geometry.

Unit cell a=4.2188 b=6.3955 c=7.4818 alpha=90.00 beta=90.00 gamma=90.00
Space group Imm2 (No. 44)
Asymmetric unit:
Mg  0.0000  0.0000  0.0000 [2 per cell]
Mg  0.0000  0.5000  0.0817 [2 per cell]
Ge  0.0000  0.2984  0.7094 [4 per cell]
Pd  0.0000  0.2240  0.3833 [4 per cell]

Computed properties:
E_form, kcal/mol of atoms: -11.7
Calculated volume, A^3/atom: 16.82
Total magnetization, μB/f.u.: 0.00

Record 9
The following is a DFT calculation (GGA-PBEsol) of crystalline Sr3BeTe at its relaxed geometry.

Unit cell a=5.7058 b=5.7058 c=5.7058 alpha=90.00 beta=90.00 gamma=90.00
Space group Pm-3m (No. 221)
Asymmetric unit:
Sr  0.0000  0.0000  0.5000 [3 per cell]
Be  0.0000  0.0000  0.0000 [1 per cell]
Te  0.5000  0.5000  0.5000 [1 per cell]

Computed properties:
Calculated volume, A^3/atom: 37.15
Total magnetization, μB/f.u.: 0.00
Raw formation energy, eV per atom: -0.151

Record 10
The following is a DFT calculation (GGA-PBEsol) of crystalline Ag3SBr at its relaxed geometry.

Unit cell a=9.6392 b=9.4099 c=9.3656 alpha=90.00 beta=90.00 gamma=90.00
Space group Cmcm (No. 63)
Asymmetric unit:
Ag  0.0000  0.2202  0.0226 [8 per cell]
Ag  0.1678  0.5000  0.0000 [8 per cell]
Ag  0.2092  0.1738  0.7500 [8 per cell]
S  0.2500  0.2500  0.0000 [8 per cell]
Br  0.0000  0.0211  0.2500 [4 per cell]
Br  0.0000  0.4904  0.7500 [4 per cell]

Computed properties:
Calculated volume, A^3/atom: 21.24
Total magnetization, μB/f.u.: 0.00
Raw formation energy, eV per atom: -0.080

Record 11
The following is a DFT calculation (GGA-PBEsol) of crystalline InCoAu2 at its relaxed geometry.

Unit cell a=4.0918 b=4.0918 c=7.6979 alpha=90.00 beta=90.00 gamma=90.00
Space group I4/mmm (No. 139)
Asymmetric unit:
In  0.0000  0.0000  0.0000 [2 per cell]
Co  0.0000  0.0000  0.5000 [2 per cell]
Au  0.0000  0.5000  0.2500 [4 per cell]

Computed properties:
E_form, kcal/mol of atoms: 2.4
Calculated volume, A^3/atom: 16.11
Total magnetization, μB/f.u.: 1.37

Record 12
The following is a DFT calculation (GGA-PBEsol) of crystalline MnReBr2 at its relaxed geometry.

Unit cell a=6.3864 b=6.3864 c=6.3864 alpha=90.00 beta=90.00 gamma=90.00
Space group Fm-3m (No. 225)
Asymmetric unit:
Mn  0.0000  0.0000  0.0000 [4 per cell]
Re  0.0000  0.0000  0.5000 [4 per cell]
Br  0.2500  0.2500  0.2500 [8 per cell]

Computed properties:
Offset from the most stable computed form, eV per atom: 0.144
Calculated volume, A^3/atom: 16.28
Total magnetization, μB/f.u.: 3.62
Raw formation energy, eV per atom: 1.136

Record 13
The following is a DFT calculation (GGA-PBEsol) of crystalline LiPt2W at its relaxed geometry.

Unit cell a=2.8370 b=4.5510 c=9.3466 alpha=90.00 beta=90.00 gamma=90.00
Space group Cmm2 (No. 35)
Asymmetric unit:
Li  0.0000  0.0000  0.0000 [2 per cell]
Pt  0.0000  0.0000  0.4878 [2 per cell]
Pt  0.0000  0.5000  0.2248 [2 per cell]
W  0.0000  0.5000  0.7293 [2 per cell]

Computed properties:
E_form, kcal/mol of atoms: 0.7
Calculated volume, A^3/atom: 15.08
Total magnetization, μB/f.u.: 0.00

Record 14
The following is a DFT calculation (GGA-PBEsol) of crystalline LiZnCdCu2 at its relaxed geometry.

Unit cell a=4.4497 b=4.4497 c=4.3447 alpha=90.00 beta=90.00 gamma=90.00
Space group P4/mmm (No. 123)
Asymmetric unit:
Li  0.0000  0.0000  0.0000 [1 per cell]
Zn  0.0000  0.0000  0.5000 [1 per cell]
Cd  0.5000  0.5000  0.0000 [1 per cell]
Cu  0.0000  0.5000  0.5000 [2 per cell]

Computed properties:
E_form, kcal/mol of atoms: 9.8
Calculated volume, A^3/atom: 17.20
Total magnetization, μB/f.u.: 0.00

Record 15
The following is a DFT calculation (GGA-PBEsol) of crystalline LuNi4B at its relaxed geometry.

Unit cell a=4.8456 b=4.8456 c=6.8563 alpha=90.00 beta=90.00 gamma=120.00
Space group P6/mmm (No. 191)
Asymmetric unit:
Lu  0.0000  0.0000  0.0000 [1 per cell]
Lu  0.0000  0.0000  0.5000 [1 per cell]
Ni  0.0000  0.5000  0.2103 [6 per cell]
Ni  0.3333  0.6667  0.5000 [2 per cell]
B  0.3333  0.6667  0.0000 [2 per cell]

Computed properties:
E_form, kcal/mol of atoms: -12.7
Calculated volume, A^3/atom: 11.62
Total magnetization, μB/f.u.: 0.00

Record 16
The following is a DFT calculation (GGA-PBEsol) of crystalline K2CuBiCl6 at its relaxed geometry.

Unit cell a=10.2452 b=10.2452 c=10.2452 alpha=90.00 beta=90.00 gamma=90.00
Space group Fm-3m (No. 225)
Asymmetric unit:
K  0.2500  0.2500  0.2500 [8 per cell]
Cu  0.0000  0.0000  0.0000 [4 per cell]
Bi  0.0000  0.0000  0.5000 [4 per cell]
Cl  0.0000  0.0000  0.2371 [24 per cell]

Computed properties:
Calculated volume, A^3/atom: 26.88
Total magnetization, μB/f.u.: 0.00
Raw formation energy, eV per atom: -1.235

Record 17
The following is a DFT calculation (GGA-PBEsol) of crystalline CsLi3I4 at its relaxed geometry.

Unit cell a=10.9268 b=4.5757 c=11.4432 alpha=90.00 beta=93.49 gamma=90.00
Space group Pm (No. 6)
Asymmetric unit:
Cs  0.0000  0.0000  0.0000 [1 per cell]
Cs  0.4563  0.0000  0.1480 [1 per cell]
Li  0.2252  0.5000  0.4596 [1 per cell]
Li  0.3205  0.0000  0.7905 [1 per cell]
Li  0.5756  0.0000  0.5131 [1 per cell]
Li  0.6786  0.5000  0.8367 [1 per cell]
Li  0.8600  0.5000  0.2917 [1 per cell]
Li  0.9386  0.0000  0.6150 [1 per cell]
I  0.1017  0.5000  0.2485 [1 per cell]
I  0.1841  0.0000  0.5841 [1 per cell]
I  0.2815  0.5000  0.9216 [1 per cell]
I  0.4696  0.5000  0.4173 [1 per cell]
I  0.5660  0.0000  0.7532 [1 per cell]
I  0.7232  0.5000  0.0762 [1 per cell]
I  0.7982  0.0000  0.4100 [1 per cell]
I  0.9011  0.5000  0.7415 [1 per cell]

Computed properties:
Calculated volume, A^3/atom: 35.69
Total magnetization, μB/f.u.: 0.00
Raw formation energy, eV per atom: -1.281

Record 18
The following is a DFT calculation (GGA-PBEsol) of crystalline NaSiP3 at its relaxed geometry.

Unit cell a=4.5830 b=4.5830 c=4.5830 alpha=90.00 beta=90.00 gamma=90.00
Space group Pm-3m (No. 221)
Asymmetric unit:
Na  0.0000  0.0000  0.0000 [1 per cell]
Si  0.5000  0.5000  0.5000 [1 per cell]
P  0.0000  0.5000  0.5000 [3 per cell]

Computed properties:
Calculated volume, A^3/atom: 19.25
Total magnetization, μB/f.u.: 0.00
Raw formation energy, eV per atom: 0.448

Record 19
The following is a DFT calculation (GGA-PBEsol) of crystalline CoRe2Si at its relaxed geometry.

Unit cell a=3.7338 b=3.7338 c=7.3680 alpha=90.00 beta=90.00 gamma=90.00
Space group I-4m2 (No. 119)
Asymmetric unit:
Co  0.0000  0.0000  0.0000 [2 per cell]
Re  0.0000  0.0000  0.5000 [2 per cell]
Re  0.0000  0.5000  0.2500 [2 per cell]
Si  0.0000  0.5000  0.7500 [2 per cell]

Computed properties:
Calculated volume, A^3/atom: 12.84
Total magnetization, μB/f.u.: 0.53
Raw formation energy, eV per atom: -0.049

Record 20
The following is a DFT calculation (GGA-PBEsol) of crystalline CsBiMo2O8 at its relaxed geometry.

Unit cell a=5.1296 b=9.4119 c=8.1437 alpha=90.00 beta=90.00 gamma=90.00
Space group Pccm (No. 49)
Asymmetric unit:
Cs  0.0000  0.0000  0.2500 [2 per cell]
Bi  0.0000  0.5000  0.2500 [2 per cell]
Mo  0.4764  0.3034  0.0000 [4 per cell]
O  0.2599  0.4370  0.5000 [4 per cell]
O  0.2656  0.3054  0.1737 [8 per cell]
O  0.3766  0.1397  0.5000 [4 per cell]

Computed properties:
Calculated volume, A^3/atom: 16.38
Total magnetization, μB/f.u.: 0.00
Raw formation energy, eV per atom: -1.937

Record 21
The following is a DFT calculation (GGA-PBEsol) of crystalline KSb3O5 at its relaxed geometry.

Unit cell a=6.8786 b=13.7353 c=7.7951 alpha=90.00 beta=119.57 gamma=90.00
Space group P2_1/c (No. 14)
Asymmetric unit:
K  0.0482  0.2455  0.4526 [4 per cell]
Sb  0.0101  0.0091  0.7177 [4 per cell]
Sb  0.4652  0.5998  0.1395 [4 per cell]
Sb  0.4904  0.6368  0.5884 [4 per cell]
O  0.1802  0.6306  0.8863 [4 per cell]
O  0.1985  0.0428  0.5944 [4 per cell]
O  0.2637  0.0893  0.9518 [4 per cell]
O  0.3193  0.6492  0.2903 [4 per cell]
O  0.3841  0.2288  0.3515 [4 per cell]

Computed properties:
Calculated volume, A^3/atom: 17.79
Total magnetization, μB/f.u.: 0.00
Raw formation energy, eV per atom: -1.448

Record 22
The following is a DFT calculation (GGA-PBEsol) of crystalline MgTlTe2 at its relaxed geometry.

Unit cell a=6.6827 b=6.6827 c=13.6435 alpha=90.00 beta=90.00 gamma=90.00
Space group I-42d (No. 122)
Asymmetric unit:
Mg  0.0000  0.0000  0.0000 [4 per cell]
Tl  0.0000  0.0000  0.5000 [4 per cell]
Te  0.2178  0.2500  0.1250 [8 per cell]

Computed properties:
Calculated volume, A^3/atom: 38.08
Total magnetization, μB/f.u.: 0.00
Raw formation energy, eV per atom: -0.362

Record 23
The following is a DFT calculation (GGA-PBEsol) of crystalline BAuF2 at its relaxed geometry.

Unit cell a=2.7075 b=2.7075 c=28.8101 alpha=90.00 beta=90.00 gamma=120.00
Space group R-3m (No. 166, hexagonal axes)
Asymmetric unit:
B  0.0000  0.0000  0.0000 [3 per cell]
Au  0.0000  0.0000  0.5000 [3 per cell]
F  0.0000  0.0000  0.0463 [6 per cell]

Computed properties:
Calculated volume, A^3/atom: 15.24
Total magnetization, μB/f.u.: 0.71
Raw formation energy, eV per atom: -0.891